(1)
BaSr2MnCd after structural relaxation, computed with GGA-PBE. Values from VASP.

Values from the calculation:
Its final energy is -12.79 eV for the cell shown.

Quantum ESPRESSO input file:
```
&SYSTEM
  ibrav = 0, nat = 5, ntyp = 4
/
ATOMIC_SPECIES
Sr 87.62 Sr.upf
Cd 112.41 Cd.upf
Mn 54.94 Mn.upf
Ba 137.33 Ba.upf
CELL_PARAMETERS angstrom
-1.232 1.799 5.318
2.967 -4.117 2.080
4.674 3.345 -0.048
ATOMIC_POSITIONS angstrom
Sr -0.616 0.900 2.659
Sr 2.337 1.672 -0.024
Cd 1.484 -2.058 1.040
Mn 0.000 0.000 0.000
Ba 3.205 0.513 3.675
```

***

(2)
ScAlInAg2 after structural relaxation, computed with GGA-PBE. Values from VASP.

Values from the calculation:
Its final energy is -15.46 eV for the cell shown.

Quantum ESPRESSO input file:
```
&SYSTEM
  ibrav = 0, nat = 5, ntyp = 4
/
ATOMIC_SPECIES
Ag 107.87 Ag.upf
Al 26.98 Al.upf
Sc 44.96 Sc.upf
In 114.82 In.upf
CELL_PARAMETERS angstrom
-3.241 -3.808 -0.818
3.667 -2.618 -2.345
1.336 -2.087 4.420
ATOMIC_POSITIONS angstrom
Ag 0.668 -1.043 2.210
Ag -1.621 -1.904 -0.409
Al 1.833 -1.309 -1.172
Sc 0.881 -4.256 0.629
In 0.000 0.000 0.000
```

***

(3)
Pm12Ga3N5 after structural relaxation, computed with GGA-PBE. Values from VASP.

Values from the calculation:
The formation energy (no corrections) is -0.803 eV per atom.

Quantum ESPRESSO input file:
```
&SYSTEM
  ibrav = 0, nat = 80, ntyp = 3
/
ATOMIC_SPECIES
Pm 145.00 Pm.upf
Ga 69.72 Ga.upf
N 14.01 N.upf
CELL_PARAMETERS angstrom
13.722 0.000 0.000
-4.574 12.937 0.000
-4.574 -6.469 11.204
ATOMIC_POSITIONS angstrom
Pm 4.450 2.363 6.674
Pm 2.852 1.798 3.552
Pm 5.319 1.749 10.133
Pm 2.163 8.832 4.531
Pm -4.698 9.211 4.312
Pm 2.411 -2.363 6.674
Pm 9.024 1.364 0.219
Pm -0.745 8.271 0.979
Pm 1.542 1.802 10.225
Pm 7.963 -4.593 9.914
Pm 3.032 8.218 1.072
Pm -4.009 5.728 5.821
Pm -3.389 11.062 1.290
Pm 0.565 8.267 7.652
Pm 8.584 0.740 5.383
Pm 6.985 3.727 4.312
Pm 7.426 -1.058 2.269
Pm 1.542 -1.749 10.133
Pm -2.411 2.742 6.892
Pm 3.032 4.666 0.979
Pm 0.124 4.105 4.531
Pm 3.472 5.289 4.623
Pm 10.333 3.055 3.333
Pm -1.542 0.053 9.154
Pm 4.009 -1.798 3.552
Pm 5.676 9.883 3.333
Pm -0.565 1.058 2.269
Pm -5.319 -0.053 9.154
Pm 6.985 11.574 0.219
Pm -1.102 4.593 9.914
Pm 1.722 4.671 7.652
Pm 9.272 -2.742 6.892
Pm 6.297 7.209 5.821
Pm 9.893 6.522 2.050
Pm 5.139 5.411 8.935
Pm -2.411 -5.105 10.985
Pm 1.102 1.179 6.581
Pm -1.185 7.648 4.623
Pm 6.116 6.415 2.050
Pm -0.745 4.720 1.072
Pm -5.759 3.414 7.871
Pm 5.676 1.875 1.290
Pm -2.852 7.526 8.935
Pm -4.450 5.105 10.985
Pm -1.722 -0.740 5.383
Pm 5.319 -1.802 10.225
Pm 5.759 -1.179 6.581
Pm -1.102 -3.414 7.871
Ga 8.005 4.043 1.401
Ga 5.718 0.809 4.202
Ga -3.431 2.426 9.804
Ga 8.005 8.894 1.401
Ga -3.431 -2.426 9.804
Ga -1.144 5.660 7.003
Ga 1.144 -0.809 4.202
Ga 3.431 0.000 8.403
Ga 3.431 7.277 7.003
Ga 1.144 6.469 2.801
Ga -5.718 6.469 8.403
Ga 10.292 0.000 2.801
N 8.005 -0.809 7.003
N 5.718 3.234 8.403
N -3.431 7.277 4.202
N -4.574 3.234 5.602
N -1.144 10.512 1.401
N 4.574 -3.234 5.602
N -1.144 3.234 2.801
N 5.718 5.660 4.202
N 0.000 0.000 0.000
N 6.861 0.000 0.000
N 2.287 3.234 5.602
N 3.431 2.426 1.401
N 1.144 -3.234 8.403
N 1.144 4.043 9.804
N 5.718 -4.043 9.804
N 4.574 6.469 0.000
N -2.287 6.469 0.000
N -1.144 0.809 7.003
N 3.431 9.703 2.801
N -2.287 -3.234 5.602
```

***

(4)
Be2CoAs after structural relaxation, computed with GGA-PBE. Values from VASP.

Values from the calculation:
Its final energy is -19.05 eV for the cell shown.

Quantum ESPRESSO input file:
```
&SYSTEM
  ibrav = 0, nat = 4, ntyp = 3
/
ATOMIC_SPECIES
Co 58.93 Co.upf
As 74.92 As.upf
Be 9.01 Be.upf
CELL_PARAMETERS angstrom
4.062 0.016 -0.015
3.126 2.594 -0.015
0.569 0.206 4.156
ATOMIC_POSITIONS angstrom
Co 3.870 1.405 2.184
As 1.867 0.678 1.093
Be 0.617 0.224 3.967
Be 5.850 2.124 3.102
```

***

(5)
Tb4BeRh3 after structural relaxation, computed with GGA-PBE. Values from VASP.

Values from the calculation:
Its final energy is -49.48 eV for the cell shown.

Quantum ESPRESSO input file:
```
&SYSTEM
  ibrav = 0, nat = 8, ntyp = 3
/
ATOMIC_SPECIES
Rh 102.91 Rh.upf
Tb 158.93 Tb.upf
Be 9.01 Be.upf
CELL_PARAMETERS angstrom
-2.012 -1.980 2.734
3.341 -2.127 0.918
2.701 7.420 7.361
ATOMIC_POSITIONS angstrom
Rh 3.267 3.324 4.811
Rh 1.102 3.027 3.002
Rh 1.552 6.037 8.338
Tb 3.979 5.278 6.750
Tb 0.386 1.059 1.051
Tb 0.719 3.750 6.069
Tb 1.647 0.646 4.505
Be 0.809 -1.656 2.221
```

***

(6)
LaTi2S2 after structural relaxation, computed with GGA-PBE. Values from VASP.

Values from the calculation:
The formation energy (no corrections) is -1.062 eV per atom.

Quantum ESPRESSO input file:
```
&SYSTEM
  ibrav = 0, nat = 5, ntyp = 3
/
ATOMIC_SPECIES
La 138.91 La.upf
S 32.06 S.upf
Ti 47.87 Ti.upf
CELL_PARAMETERS angstrom
-2.706 1.290 -3.628
3.202 -1.709 -2.995
-1.704 -4.035 -3.215
ATOMIC_POSITIONS angstrom
La 0.000 0.000 0.000
S 0.873 -2.977 -4.761
S -2.081 -1.478 -5.077
Ti -0.311 -1.304 -3.284
Ti -0.898 -3.150 -6.555
```

***

Values for density, kg/m³, ordered as above
4398, 5125, 6743, 5784, 9180, 5216